Record 1
# Ba2LiCu2, optimized geometry, DFT PBE-GGA
# - Size of the total moment: 0.00 μB/cell
# - N(E_F): 0.694 states/eV per atom
# - SG: P4/mbm, No. 127
# - Total energy: -2.7799 eV per atom
data_Ba2LiCu2
_chemical_formula_sum 'Ba4 Li2 Cu4'
_cell_length_a 8.3948
_cell_length_b 8.3948
_cell_length_c 4.4785
_cell_angle_alpha 90.00
_cell_angle_beta 90.00
_cell_angle_gamma 90.00
_space_group_name_H-M_alt 'P 1'
_space_group_IT_number 1
_space_group_name_Hall 'P 1'
loop_
_atom_site_label
_atom_site_type_symbol
_atom_site_fract_x
_atom_site_fract_y
_atom_site_fract_z
_atom_site_occupancy
Cu1 Cu 0.6055 0.1055 0.0000 1
Cu2 Cu 0.1055 0.3945 0.0000 1
Cu3 Cu 0.3945 0.8945 0.0000 1
Cu4 Cu 0.8945 0.6055 0.0000 1
Ba1 Ba 0.1808 0.6808 0.5000 1
Ba2 Ba 0.3192 0.1808 0.5000 1
Ba3 Ba 0.8192 0.3192 0.5000 1
Ba4 Ba 0.6808 0.8192 0.5000 1
Li1 Li 0.5000 0.5000 0.0000 1
Li2 Li 0.0000 0.0000 0.0000 1

***

Record 2
# BaMo4Br, optimized geometry, DFT PBE-GGA
# - Size of the total moment: 0.00 μB/cell
# - N(E_F): 1.359 states/eV per atom
# - SG: F-43m, No. 216
# - Total energy: -6.7117 eV per atom
data_BaMo4Br
_chemical_formula_sum 'Ba1 Mo4 Br1'
_cell_length_a 5.6533
_cell_length_b 5.6533
_cell_length_c 5.6533
_cell_angle_alpha 60.00
_cell_angle_beta 60.00
_cell_angle_gamma 60.00
_space_group_name_H-M_alt 'P 1'
_space_group_IT_number 1
_space_group_name_Hall 'P 1'
loop_
_atom_site_label
_atom_site_type_symbol
_atom_site_fract_x
_atom_site_fract_y
_atom_site_fract_z
_atom_site_occupancy
Ba1 Ba 0.7500 0.7500 0.7500 1
Br1 Br 0.0000 0.0000 0.0000 1
Mo1 Mo 0.3670 0.3670 0.3670 1
Mo2 Mo 0.3670 0.3670 0.8989 1
Mo3 Mo 0.8989 0.3670 0.3670 1
Mo4 Mo 0.3670 0.8989 0.3670 1

***

Record 3
# LiY2Se, optimized geometry, DFT PBE-GGA
# - Size of the total moment: 0.00 μB/cell
# - N(E_F): 0.945 states/eV per atom
# - SG: R3m, No. 160
# - Total energy: -5.3263 eV per atom
data_LiY2Se
_chemical_formula_sum 'Li1 Y2 Se1'
_cell_length_a 7.4888
_cell_length_b 7.4888
_cell_length_c 7.4888
_cell_angle_alpha 30.57
_cell_angle_beta 30.57
_cell_angle_gamma 30.57
_space_group_name_H-M_alt 'P 1'
_space_group_IT_number 1
_space_group_name_Hall 'P 1'
loop_
_atom_site_label
_atom_site_type_symbol
_atom_site_fract_x
_atom_site_fract_y
_atom_site_fract_z
_atom_site_occupancy
Y1 Y 0.2286 0.2286 0.2286 1
Y2 Y 0.0226 0.0226 0.0226 1
Se1 Se 0.7948 0.7948 0.7948 1
Li1 Li 0.4539 0.4539 0.4539 1

***

Record 4
# La4OsRh, optimized geometry, DFT PBE-GGA
# - Size of the total moment: 0.00 μB/cell
# - N(E_F): 1.371 states/eV per atom
# - SG: F-43m, No. 216
# - Total energy: -5.4868 eV per atom
data_La4OsRh
_chemical_formula_sum 'La4 Os1 Rh1'
_cell_length_a 6.0406
_cell_length_b 6.0406
_cell_length_c 6.0406
_cell_angle_alpha 60.00
_cell_angle_beta 60.00
_cell_angle_gamma 60.00
_space_group_name_H-M_alt 'P 1'
_space_group_IT_number 1
_space_group_name_Hall 'P 1'
loop_
_atom_site_label
_atom_site_type_symbol
_atom_site_fract_x
_atom_site_fract_y
_atom_site_fract_z
_atom_site_occupancy
Os1 Os 0.7500 0.7500 0.7500 1
La1 La 0.8735 0.3755 0.3755 1
La2 La 0.3755 0.3755 0.3755 1
La3 La 0.3755 0.3755 0.8735 1
La4 La 0.3755 0.8735 0.3755 1
Rh1 Rh 0.0000 0.0000 0.0000 1

***

Record 5
# AlTlAg2F6, optimized geometry, DFT PBE-GGA
# - Size of the total moment: 0.00 μB/cell
# - N(E_F): 0.000 states/eV per atom
# - SG: R-3, No. 148
# - Total energy: -4.4940 eV per atom
data_AlTlAg2F6
_chemical_formula_sum 'Al1 Tl1 Ag2 F6'
_cell_length_a 5.9157
_cell_length_b 5.9157
_cell_length_c 5.9157
_cell_angle_alpha 63.32
_cell_angle_beta 63.32
_cell_angle_gamma 63.32
_space_group_name_H-M_alt 'P 1'
_space_group_IT_number 1
_space_group_name_Hall 'P 1'
loop_
_atom_site_label
_atom_site_type_symbol
_atom_site_fract_x
_atom_site_fract_y
_atom_site_fract_z
_atom_site_occupancy
F1 F 0.0641 0.8395 0.3224 1
F2 F 0.9361 0.1607 0.6777 1
F3 F 0.3224 0.0641 0.8395 1
F4 F 0.6777 0.9361 0.1607 1
F5 F 0.8395 0.3224 0.0641 1
F6 F 0.1607 0.6777 0.9361 1
Al1 Al 0.0000 0.0000 0.0000 1
Ag1 Ag 0.7628 0.7628 0.7628 1
Ag2 Ag 0.2371 0.2371 0.2371 1
Tl1 Tl 0.5000 0.5000 0.5000 1

***

Record 6
# PmBe2F6, optimized geometry, DFT PBE-GGA
# - Size of the total moment: 1.91 μB/cell
# - N(E_F): 0.128 states/eV per atom
# - SG: C2/c, No. 15
# - Total energy: -5.8740 eV per atom
data_PmBe2F6
_chemical_formula_sum 'Pm2 Be4 F12'
_cell_length_a 4.6525
_cell_length_b 8.1157
_cell_length_c 8.1157
_cell_angle_alpha 74.59
_cell_angle_beta 68.84
_cell_angle_gamma 68.84
_space_group_name_H-M_alt 'P 1'
_space_group_IT_number 1
_space_group_name_Hall 'P 1'
loop_
_atom_site_label
_atom_site_type_symbol
_atom_site_fract_x
_atom_site_fract_y
_atom_site_fract_z
_atom_site_occupancy
F1 F 0.4766 0.6984 0.6046 1
F2 F 0.1254 0.6961 0.9299 1
F3 F 0.8746 0.3039 0.0701 1
F4 F 0.9766 0.6046 0.6984 1
F5 F 0.0645 0.1892 0.6024 1
F6 F 0.5234 0.3016 0.3954 1
F7 F 0.0234 0.3954 0.3016 1
F8 F 0.3746 0.0701 0.3039 1
F9 F 0.4355 0.3976 0.8108 1
F10 F 0.6254 0.9299 0.6961 1
F11 F 0.5645 0.6024 0.1892 1
F12 F 0.9355 0.8108 0.3976 1
Be1 Be 0.7415 0.4013 0.2336 1
Be2 Be 0.7585 0.7664 0.5987 1
Be3 Be 0.2415 0.2336 0.4013 1
Be4 Be 0.2585 0.5987 0.7664 1
Pm1 Pm 0.7500 0.8381 0.1619 1
Pm2 Pm 0.2500 0.1619 0.8381 1

***

Record 7
# Nd5Dy3Y2, optimized geometry, DFT PBE-GGA
# - Size of the total moment: 0.00 μB/cell
# - N(E_F): 1.760 states/eV per atom
# - SG: C2/c, No. 15
# - Total energy: -4.8802 eV per atom
data_Nd5Dy3Y2
_chemical_formula_sum 'Nd10 Dy6 Y4'
_cell_length_a 10.1723
_cell_length_b 10.1687
_cell_length_c 11.3690
_cell_angle_alpha 130.25
_cell_angle_beta 130.26
_cell_angle_gamma 63.60
_space_group_name_H-M_alt 'P 1'
_space_group_IT_number 1
_space_group_name_Hall 'P 1'
loop_
_atom_site_label
_atom_site_type_symbol
_atom_site_fract_x
_atom_site_fract_y
_atom_site_fract_z
_atom_site_occupancy
Nd1 Nd 0.8774 0.6289 0.7558 1
Nd2 Nd 0.6216 0.8731 0.2442 1
Nd3 Nd 0.5194 0.2694 0.5387 1
Nd4 Nd 0.0200 0.7700 0.5400 1
Nd5 Nd 0.1226 0.3711 0.2442 1
Nd6 Nd 0.9800 0.2300 0.4600 1
Nd7 Nd 0.3784 0.1269 0.7558 1
Nd8 Nd 0.4806 0.7306 0.4613 1
Nd9 Nd 0.7305 0.4805 0.9611 1
Nd10 Nd 0.2695 0.5195 0.0389 1
Dy1 Dy 0.7209 0.4696 0.2493 1
Dy2 Dy 0.2791 0.5304 0.7507 1
Dy3 Dy 0.7702 0.0202 0.0405 1
Dy4 Dy 0.9716 0.2202 0.7507 1
Dy5 Dy 0.0284 0.7798 0.2493 1
Dy6 Dy 0.2298 0.9798 0.9595 1
Y1 Y 0.7825 0.0313 0.7550 1
Y2 Y 0.5275 0.2763 0.2450 1
Y3 Y 0.4725 0.7237 0.7550 1
Y4 Y 0.2175 0.9687 0.2450 1

***

Record 8
# Sc6Te2Pd, optimized geometry, DFT PBE-GGA
# - Size of the total moment: 0.00 μB/cell
# - N(E_F): 0.897 states/eV per atom
# - SG: Pnma, No. 62
# - Total energy: -6.2533 eV per atom
data_Sc6Te2Pd
_chemical_formula_sum 'Sc24 Te8 Pd4'
_cell_length_a 3.8116
_cell_length_b 10.7243
_cell_length_c 20.3416
_cell_angle_alpha 90.00
_cell_angle_beta 90.00
_cell_angle_gamma 90.00
_space_group_name_H-M_alt 'P 1'
_space_group_IT_number 1
_space_group_name_Hall 'P 1'
loop_
_atom_site_label
_atom_site_type_symbol
_atom_site_fract_x
_atom_site_fract_y
_atom_site_fract_z
_atom_site_occupancy
Sc1 Sc 0.7500 0.1838 0.3918 1
Sc2 Sc 0.7500 0.0348 0.8424 1
Sc3 Sc 0.2500 0.2585 0.2685 1
Sc4 Sc 0.2500 0.8801 0.9741 1
Sc5 Sc 0.2500 0.9381 0.3626 1
Sc6 Sc 0.7500 0.4652 0.3424 1
Sc7 Sc 0.2500 0.8162 0.6082 1
Sc8 Sc 0.2500 0.1113 0.5073 1
Sc9 Sc 0.7500 0.3801 0.5259 1
Sc10 Sc 0.7500 0.7585 0.2315 1
Sc11 Sc 0.7500 0.8887 0.4927 1
Sc12 Sc 0.2500 0.6199 0.4741 1
Sc13 Sc 0.2500 0.2415 0.7685 1
Sc14 Sc 0.2500 0.9652 0.1576 1
Sc15 Sc 0.7500 0.6113 0.9927 1
Sc16 Sc 0.2500 0.5348 0.6576 1
Sc17 Sc 0.7500 0.4381 0.1374 1
Sc18 Sc 0.7500 0.7415 0.7315 1
Sc19 Sc 0.2500 0.6838 0.1082 1
Sc20 Sc 0.2500 0.3887 0.0073 1
Sc21 Sc 0.2500 0.5619 0.8626 1
Sc22 Sc 0.7500 0.1199 0.0259 1
Sc23 Sc 0.7500 0.0619 0.6374 1
Sc24 Sc 0.7500 0.3162 0.8918 1
Te1 Te 0.7500 0.7304 0.3741 1
Te2 Te 0.7500 0.0412 0.2642 1
Te3 Te 0.2500 0.5412 0.2358 1
Te4 Te 0.2500 0.2696 0.6259 1
Te5 Te 0.2500 0.2304 0.1259 1
Te6 Te 0.2500 0.9588 0.7358 1
Te7 Te 0.7500 0.4588 0.7642 1
Te8 Te 0.7500 0.7696 0.8741 1
Pd1 Pd 0.2500 0.1392 0.9244 1
Pd2 Pd 0.7500 0.6392 0.5756 1
Pd3 Pd 0.2500 0.3608 0.4244 1
Pd4 Pd 0.7500 0.8608 0.0756 1

***

Record 9
# Rb2SBr, optimized geometry, DFT PBE-GGA
# - Size of the total moment: 2.00 μB/cell
# - N(E_F): 2.354 states/eV per atom
# - SG: I-42d, No. 122
# - Total energy: -2.8490 eV per atom
data_Rb2SBr
_chemical_formula_sum 'Rb4 S2 Br2'
_cell_length_a 7.7611
_cell_length_b 7.7611
_cell_length_c 9.3878
_cell_angle_alpha 65.58
_cell_angle_beta 65.58
_cell_angle_gamma 90.00
_space_group_name_H-M_alt 'P 1'
_space_group_IT_number 1
_space_group_name_Hall 'P 1'
loop_
_atom_site_label
_atom_site_type_symbol
_atom_site_fract_x
_atom_site_fract_y
_atom_site_fract_z
_atom_site_occupancy
Rb1 Rb 0.1323 0.6250 0.2500 1
Rb2 Rb 0.8750 0.8677 0.7500 1
Rb3 Rb 0.3750 0.3823 0.7500 1
Rb4 Rb 0.6177 0.1250 0.2500 1
S1 S 0.2500 0.7500 0.5000 1
S2 S 0.5000 0.5000 0.0000 1
Br1 Br 0.0000 0.0000 0.0000 1
Br2 Br 0.7500 0.2500 0.5000 1

***

Record 10
# BaZnCd2Pb, optimized geometry, DFT PBE-GGA
# - Size of the total moment: 0.00 μB/cell
# - N(E_F): 0.408 states/eV per atom
# - SG: P4/mmm, No. 123
# - Total energy: -1.8586 eV per atom
data_BaZnCd2Pb
_chemical_formula_sum 'Ba1 Zn1 Cd2 Pb1'
_cell_length_a 5.1977
_cell_length_b 5.1977
_cell_length_c 5.6800
_cell_angle_alpha 90.00
_cell_angle_beta 90.00
_cell_angle_gamma 90.00
_space_group_name_H-M_alt 'P 1'
_space_group_IT_number 1
_space_group_name_Hall 'P 1'
loop_
_atom_site_label
_atom_site_type_symbol
_atom_site_fract_x
_atom_site_fract_y
_atom_site_fract_z
_atom_site_occupancy
Ba1 Ba 0.5000 0.5000 0.5000 1
Zn1 Zn 0.0000 0.0000 0.0000 1
Cd1 Cd 0.5000 0.0000 0.0000 1
Cd2 Cd 0.0000 0.5000 0.0000 1
Pb1 Pb 0.0000 0.0000 0.5000 1

***

Record 11
# MgSn2Pb, optimized geometry, DFT PBE-GGA
# - Size of the total moment: 0.00 μB/cell
# - N(E_F): 0.476 states/eV per atom
# - SG: P4/mmm, No. 123
# - Total energy: -3.3576 eV per atom
data_MgSn2Pb
_chemical_formula_sum 'Mg1 Sn2 Pb1'
_cell_length_a 3.5209
_cell_length_b 3.5209
_cell_length_c 8.7101
_cell_angle_alpha 90.00
_cell_angle_beta 90.00
_cell_angle_gamma 90.00
_space_group_name_H-M_alt 'P 1'
_space_group_IT_number 1
_space_group_name_Hall 'P 1'
loop_
_atom_site_label
_atom_site_type_symbol
_atom_site_fract_x
_atom_site_fract_y
_atom_site_fract_z
_atom_site_occupancy
Sn1 Sn 0.0000 0.0000 0.7757 1
Sn2 Sn 0.0000 0.0000 0.2243 1
Pb1 Pb 0.5000 0.5000 0.5000 1
Mg1 Mg 0.5000 0.5000 0.0000 1

***

Record 12
# TbHo3Cu2, optimized geometry, DFT PBE-GGA
# - Size of the total moment: 0.00 μB/cell
# - N(E_F): 1.192 states/eV per atom
# - SG: Ibam, No. 72
# - Total energy: -4.4129 eV per atom
data_TbHo3Cu2
_chemical_formula_sum 'Tb2 Ho6 Cu4'
_cell_length_a 6.7729
_cell_length_b 7.1374
_cell_length_c 8.3045
_cell_angle_alpha 115.45
_cell_angle_beta 114.07
_cell_angle_gamma 90.00
_space_group_name_H-M_alt 'P 1'
_space_group_IT_number 1
_space_group_name_Hall 'P 1'
loop_
_atom_site_label
_atom_site_type_symbol
_atom_site_fract_x
_atom_site_fract_y
_atom_site_fract_z
_atom_site_occupancy
Cu1 Cu 0.8496 0.1419 0.2837 1
Cu2 Cu 0.1504 0.8581 0.7163 1
Cu3 Cu 0.5659 0.3581 0.7163 1
Cu4 Cu 0.4341 0.6419 0.2837 1
Ho1 Ho 0.2348 0.4848 0.4695 1
Ho2 Ho 0.2348 0.9848 0.4695 1
Ho3 Ho 0.5000 0.7500 0.0000 1
Ho4 Ho 0.7652 0.0152 0.5305 1
Ho5 Ho 0.7652 0.5152 0.5305 1
Ho6 Ho 0.5000 0.2500 0.0000 1
Tb1 Tb 0.0000 0.5000 0.0000 1
Tb2 Tb 0.0000 0.0000 0.0000 1

***

What did the ninth record say?
# Rb2SBr, optimized geometry, DFT PBE-GGA
# - Size of the total moment: 2.00 μB/cell
# - N(E_F): 2.354 states/eV per atom
# - SG: I-42d, No. 122
# - Total energy: -2.8490 eV per atom
data_Rb2SBr
_chemical_formula_sum 'Rb4 S2 Br2'
_cell_length_a 7.7611
_cell_length_b 7.7611
_cell_length_c 9.3878
_cell_angle_alpha 65.58
_cell_angle_beta 65.58
_cell_angle_gamma 90.00
_space_group_name_H-M_alt 'P 1'
_space_group_IT_number 1
_space_group_name_Hall 'P 1'
loop_
_atom_site_label
_atom_site_type_symbol
_atom_site_fract_x
_atom_site_fract_y
_atom_site_fract_z
_atom_site_occupancy
Rb1 Rb 0.1323 0.6250 0.2500 1
Rb2 Rb 0.8750 0.8677 0.7500 1
Rb3 Rb 0.3750 0.3823 0.7500 1
Rb4 Rb 0.6177 0.1250 0.2500 1
S1 S 0.2500 0.7500 0.5000 1
S2 S 0.5000 0.5000 0.0000 1
Br1 Br 0.0000 0.0000 0.0000 1
Br2 Br 0.7500 0.2500 0.5000 1